Record 1
! ErTmGa5 | OQMD via LeMat-Bulk | PBE | relaxed; values from VASP
! DFT total energy (eV/atom): -3.87
! Volume (Å³/f.u.): 145
&SYSTEM
  ibrav = 0, nat = 7, ntyp = 3
/
ATOMIC_SPECIES
Er 167.26 Er.upf
Tm 168.93 Tm.upf
Ga 69.72 Ga.upf
CELL_PARAMETERS angstrom
4.189 0.000 0.000
0.000 4.189 0.000
0.000 0.000 8.268
ATOMIC_POSITIONS crystal
Er 0.000 0.000 0.000
Tm 0.000 0.000 0.500
Ga 0.000 0.500 0.255
Ga 0.000 0.500 0.745
Ga 0.500 0.000 0.255
Ga 0.500 0.000 0.745
Ga 0.500 0.500 0.000

Record 2
! SnTe2Pd2F2 | OQMD via LeMat-Bulk | PBE | relaxed; values from VASP
! DFT total energy (eV/atom): -3.97
! Volume (Å³/f.u.): 133
&SYSTEM
  ibrav = 0, nat = 7, ntyp = 4
/
ATOMIC_SPECIES
Sn 118.71 Sn.upf
Te 127.60 Te.upf
Pd 106.42 Pd.upf
F 19.00 F.upf
CELL_PARAMETERS angstrom
3.843 0.000 0.000
0.000 3.843 0.000
0.000 0.000 8.987
ATOMIC_POSITIONS crystal
Sn 0.000 0.000 0.000
Te 0.000 0.500 0.754
Te 0.500 0.000 0.246
Pd 0.000 0.500 0.322
Pd 0.500 0.000 0.678
F 0.000 0.000 0.500
F 0.500 0.500 0.500

Record 3
! BaReOs | OQMD via LeMat-Bulk | PBE | relaxed; values from VASP
! Volume (Å³/f.u.): 70
! Distance to the lowest polymorph of the same formula (eV per atom): 1.359
&SYSTEM
  ibrav = 0, nat = 3, ntyp = 3
/
ATOMIC_SPECIES
Ba 137.33 Ba.upf
Re 186.21 Re.upf
Os 190.23 Os.upf
CELL_PARAMETERS angstrom
0.000 3.264 3.264
3.264 0.000 3.264
3.264 3.264 0.000
ATOMIC_POSITIONS crystal
Ba 0.000 0.000 0.000
Re 0.250 0.250 0.250
Os 0.750 0.750 0.750

Record 4
! Ni4GeTe3 | OQMD via LeMat-Bulk | PBE | relaxed; values from VASP
! DFT total energy (eV/atom): -4.60
! Volume (Å³/f.u.): 136
&SYSTEM
  ibrav = 0, nat = 8, ntyp = 3
/
ATOMIC_SPECIES
Ni 58.69 Ni.upf
Ge 72.64 Ge.upf
Te 127.60 Te.upf
CELL_PARAMETERS angstrom
5.136 0.000 0.000
0.000 3.518 0.000
-0.025 0.000 7.536
ATOMIC_POSITIONS crystal
Ni 0.000 0.000 0.000
Ni 0.166 0.000 0.536
Ni 0.494 0.500 0.351
Ni 0.680 0.500 0.854
Ge 0.161 0.500 0.781
Te 0.005 0.500 0.282
Te 0.497 0.000 0.077
Te 0.655 0.000 0.601

Record 5
! RbHoIr | OQMD via LeMat-Bulk | PBE | relaxed; values from VASP
! Volume (Å³/f.u.): 87
! Distance to the lowest polymorph of the same formula (eV per atom): 0.000
&SYSTEM
  ibrav = 0, nat = 3, ntyp = 3
/
ATOMIC_SPECIES
Rb 85.47 Rb.upf
Ho 164.93 Ho.upf
Ir 192.22 Ir.upf
CELL_PARAMETERS angstrom
0.000 3.518 3.518
3.518 0.000 3.518
3.518 3.518 0.000
ATOMIC_POSITIONS crystal
Rb 0.000 0.000 0.000
Ho 0.500 0.500 0.500
Ir 0.250 0.250 0.250

Record 6
! CsGdNO | OQMD via LeMat-Bulk | PBE | relaxed; values from VASP
! Volume (Å³/f.u.): 100
! Distance to the lowest polymorph of the same formula (eV per atom): 0.019
&SYSTEM
  ibrav = 0, nat = 8, ntyp = 4
/
ATOMIC_SPECIES
Cs 132.91 Cs.upf
Gd 157.25 Gd.upf
N 14.01 N.upf
O 16.00 O.upf
CELL_PARAMETERS angstrom
3.783 0.000 0.000
0.000 7.837 0.000
0.000 0.000 6.750
ATOMIC_POSITIONS crystal
Cs 0.000 0.157 0.000
Cs 0.000 0.843 0.500
Gd 0.500 0.347 0.497
Gd 0.500 0.653 0.997
N 0.500 0.405 0.826
N 0.500 0.595 0.326
O 0.000 0.215 0.440
O 0.000 0.785 0.940